Compound: Rb3Zr3USe8
Source: the Alexandria database
Functional: PBE-GGA
Structure: relaxed

Cell: 7.870 7.871 9.422 Å, 114.63 90.00 120.09°
Site moments in Bohr magnetons follow the coordinates.
Element x y z (fractional)
Rb (0.000, 0.500, 0.000)  0.00
Rb (0.500, 0.500, 0.000)  0.00
Rb (0.000, 0.000, 0.000)  0.00
Se (0.732, 0.463, 0.693)  0.00
Se (0.281, 0.042, 0.304)  -0.03
Se (0.268, 0.537, 0.307)  0.00
Se (0.761, 0.042, 0.304)  -0.03
Se (0.239, 0.958, 0.696)  -0.03
Se (0.719, 0.958, 0.696)  -0.03
Se (0.239, 0.477, 0.696)  -0.03
Se (0.761, 0.523, 0.304)  -0.03
Zr (0.500, 0.500, 0.500)  0.11
Zr (0.000, 0.500, 0.500)  0.11
Zr (0.500, 0.000, 0.500)  0.11
U (0.000, 0.000, 0.500)  2.34

Calculated values
Space-group type: C2/m (12)
Total DFT energy (no corrections), eV/cell: -87.64
Energy relative to the elements, uncorrected, eV per atom: -1.33
Magnetization, μB/cell: 2.906